Hf2TaCdH after structural relaxation, computed with GGA-PBE.

The space group is P4/mmm (No. 123) and the conventional cell measures 4.4735, 4.4735 and 4.1530 Å, with angles of 90.00, 90.00 and 90.00 degrees. The distinct sites, in fractional coordinates, are Hf at (0.0000, 0.5000, 0.0000), Ta at (0.0000, 0.0000, 0.5000), Cd at (0.5000, 0.5000, 0.5000) and H at (0.0000, 0.0000, 0.0000).

For the magnetization, the calculation gives 0.001 μB/f.u. The calculation puts the total energy at -36.22 eV for the cell shown.


HfTa2CdH after structural relaxation, computed with GGA-PBE.

The space group is P4/mmm (No. 123) and the conventional cell measures 4.1531, 4.1531 and 4.6095 Å, with angles of 90.00, 90.00 and 90.00 degrees. The distinct sites, in fractional coordinates, are Hf at (0.0000, 0.0000, 0.0000), Ta at (0.0000, 0.5000, 0.5000), Cd at (0.5000, 0.5000, 0.0000) and H at (0.0000, 0.0000, 0.5000).

For the magnetization, the calculation gives 0.000 μB/f.u. The calculation puts the total energy at -37.67 eV for the cell shown.


HfCdTeH2 after structural relaxation, computed with GGA-PBE.

The space group is P4/mmm (No. 123) and the conventional cell measures 4.0757, 4.0757 and 5.8597 Å, with angles of 90.00, 90.00 and 90.00 degrees. The distinct sites, in fractional coordinates, are Hf at (0.0000, 0.0000, 0.0000), Cd at (0.5000, 0.5000, 0.0000), Te at (0.0000, 0.0000, 0.5000) and H at (0.0000, 0.5000, 0.5000).

For the magnetization, the calculation gives 0.000 μB/f.u. The calculation puts the total energy at -17.77 eV for the cell shown.


- Which of these has the highest magnetization?
  Hf2TaCdH


- What is the magnetization in the second record?
  0.000 μB/f.u.